one:
First-principles (PBE) data for crystalline Ac2Tl2Sn at its relaxed geometry, as listed in the Alexandria database.

Structure (POSCAR):
```
Ac2Tl2Sn
1.0
4.027 0.000 0.000
0.000 2.481 8.448
0.000 -2.481 8.448
Ac Tl Sn
2 2 1
Direct
0.000 0.000 0.000
0.000 0.240 0.240
0.500 0.618 0.618
0.500 0.816 0.816
0.500 0.422 0.422
```

Output
mass density = 9.65 g cm⁻³
D(E_F) = 2.851 states/eV per cell

two:
First-principles (PBE) data for crystalline Ac2Tl2Sn at its relaxed geometry, as listed in the Alexandria database.

Structure (POSCAR):
```
Ac2Tl2Sn
1.0
6.319 -2.528 0.000
6.319 2.528 0.000
-6.215 0.000 10.788
Ac Tl Sn
4 4 2
Direct
0.097 0.097 0.412
0.289 0.289 0.839
0.711 0.711 0.161
0.903 0.903 0.588
0.093 0.093 0.956
0.365 0.365 0.383
0.635 0.635 0.617
0.907 0.907 0.044
0.463 0.463 0.203
0.537 0.537 0.797
```

Output
mass density = 9.46 g cm⁻³
D(E_F) = 3.658 states/eV per cell

Which of them is the least stable? Correct choice: one.

one:
First-principles (PBE) data for crystalline Ac3Tl3Sn at its relaxed geometry, as listed in the Alexandria database.

Structure (POSCAR):
```
Ac3Tl3Sn
1.0
6.298 -2.471 0.000
6.298 2.471 0.000
-4.794 0.000 15.643
Ac Tl Sn
6 6 2
Direct
0.008 0.008 0.379
0.111 0.111 0.927
0.224 0.224 0.226
0.776 0.776 0.774
0.889 0.889 0.073
0.992 0.992 0.621
0.355 0.355 0.459
0.391 0.391 0.923
0.493 0.493 0.223
0.507 0.507 0.777
0.609 0.609 0.077
0.645 0.645 0.541
0.286 0.286 0.628
0.714 0.714 0.372
```

Output
mass density = 9.64 g cm⁻³
D(E_F) = 10.944 states/eV per cell

two:
First-principles (PBE) data for crystalline Ac3Tl3Sn at its relaxed geometry, as listed in the Alexandria database.

Structure (POSCAR):
```
Ac3Tl3Sn
1.0
10.120 0.000 0.000
-5.060 8.764 0.000
0.000 0.000 5.416
Ac Tl Sn
6 6 2
Direct
0.096 0.658 0.250
0.342 0.438 0.250
0.438 0.096 0.750
0.562 0.904 0.250
0.658 0.562 0.750
0.904 0.342 0.750
0.044 0.827 0.750
0.173 0.217 0.750
0.217 0.044 0.250
0.783 0.956 0.750
0.827 0.783 0.250
0.956 0.173 0.250
0.333 0.667 0.750
0.667 0.333 0.250
```

Output
mass density = 9.77 g cm⁻³
D(E_F) = 7.952 states/eV per cell

Which of them is the least stable? Correct choice: two.

one:
First-principles (PBE) data for crystalline Ac5TlSn2 at its relaxed geometry, as listed in the Alexandria database.

Structure (POSCAR):
```
Ac5TlSn2
1.0
-4.407 4.407 7.836
4.407 -4.407 7.836
4.407 4.407 -7.836
Ac Tl Sn
10 2 4
Direct
0.000 0.000 0.000
0.022 0.522 0.838
0.184 0.022 0.500
0.316 0.816 0.838
0.478 0.316 0.500
0.500 0.500 0.000
0.522 0.684 0.500
0.684 0.184 0.162
0.816 0.978 0.500
0.978 0.478 0.162
0.250 0.250 0.000
0.750 0.750 0.000
0.129 0.371 0.500
0.371 0.871 0.241
0.629 0.129 0.759
0.871 0.629 0.500
```

Output
mass density = 8.60 g cm⁻³
D(E_F) = 13.893 states/eV per cell

two:
First-principles (PBE) data for crystalline Ac5TlSn2 at its relaxed geometry, as listed in the Alexandria database.

Structure (POSCAR):
```
Ac5TlSn2
1.0
2.783 -6.073 0.000
2.783 6.073 0.000
0.000 0.000 18.327
Ac Tl Sn
10 2 4
Direct
0.095 0.905 0.583
0.095 0.905 0.917
0.307 0.693 0.250
0.399 0.601 0.612
0.399 0.601 0.888
0.601 0.399 0.112
0.601 0.399 0.388
0.693 0.307 0.750
0.905 0.095 0.083
0.905 0.095 0.417
0.018 0.982 0.250
0.982 0.018 0.750
0.255 0.745 0.070
0.255 0.745 0.430
0.745 0.255 0.570
0.745 0.255 0.930
```

Output
mass density = 8.45 g cm⁻³
D(E_F) = 15.062 states/eV per cell

Which of them is the least stable? Correct choice: two.

one:
First-principles (PBE) data for crystalline AcYSn at its relaxed geometry, as listed in the Alexandria database.

Structure (POSCAR):
```
AcYSn
1.0
0.000 3.820 3.820
3.820 0.000 3.820
3.820 3.820 0.000
Ac Y Sn
1 1 1
Direct
0.000 0.000 0.000
0.500 0.500 0.500
0.250 0.250 0.250
```

Output
mass density = 6.47 g cm⁻³
D(E_F) = 3.669 states/eV per cell

two:
First-principles (PBE) data for crystalline AcYSn at its relaxed geometry, as listed in the Alexandria database.

Structure (POSCAR):
```
AcYSn
1.0
5.203 0.000 0.000
-2.601 4.506 0.000
0.000 0.000 4.517
Ac Y Sn
1 1 1
Direct
0.000 0.000 0.000
0.667 0.333 0.500
0.333 0.667 0.500
```

Output
mass density = 6.82 g cm⁻³
D(E_F) = 1.195 states/eV per cell

three:
First-principles (PBE) data for crystalline AcYSn at its relaxed geometry, as listed in the Alexandria database.

Structure (POSCAR):
```
AcYSn
1.0
-2.099 2.099 5.555
2.099 -2.099 5.555
2.099 2.099 -5.555
Ac Y Sn
1 1 1
Direct
0.000 0.000 0.000
0.297 0.297 0.000
0.679 0.679 0.000
```

Output
mass density = 7.37 g cm⁻³
D(E_F) = 4.419 states/eV per cell

four:
First-principles (PBE) data for crystalline AcYSn at its relaxed geometry, as listed in the Alexandria database.

Structure (POSCAR):
```
AcYSn
1.0
4.832 0.000 0.000
0.000 4.832 0.000
0.000 0.000 8.849
Ac Y Sn
2 2 2
Direct
0.250 0.250 0.146
0.750 0.750 0.854
0.250 0.750 0.500
0.750 0.250 0.500
0.250 0.250 0.745
0.750 0.750 0.255
```

Output
mass density = 6.99 g cm⁻³
D(E_F) = 6.211 states/eV per cell

Which of them is the least stable? Correct choice: one.

one:
First-principles (PBE) data for crystalline AcY2Sn at its relaxed geometry, as listed in the Alexandria database.

Structure (POSCAR):
```
AcY2Sn
1.0
3.878 0.000 0.000
0.000 3.878 0.000
0.000 0.000 8.609
Ac Y Sn
1 2 1
Direct
0.000 0.000 0.000
0.500 0.500 0.296
0.500 0.500 0.704
0.000 0.000 0.500
```

Output
mass density = 6.72 g cm⁻³
D(E_F) = 5.744 states/eV per cell

two:
First-principles (PBE) data for crystalline AcY2Sn at its relaxed geometry, as listed in the Alexandria database.

Structure (POSCAR):
```
AcY2Sn
1.0
2.596 1.499 6.113
-2.596 1.499 6.113
0.000 -2.997 6.113
Ac Y Sn
1 2 1
Direct
0.000 0.000 0.000
0.555 0.555 0.555
0.786 0.786 0.786
0.193 0.193 0.193
```

Output
mass density = 6.09 g cm⁻³
D(E_F) = 5.362 states/eV per cell

three:
First-principles (PBE) data for crystalline AcY2Sn at its relaxed geometry, as listed in the Alexandria database.

Structure (POSCAR):
```
AcY2Sn
1.0
5.051 0.000 0.000
0.000 5.051 0.000
0.000 0.000 4.919
Ac Y Sn
1 2 1
Direct
0.000 0.000 0.000
0.000 0.500 0.500
0.500 0.000 0.500
0.500 0.500 0.000
```

Output
mass density = 6.93 g cm⁻³
D(E_F) = 6.396 states/eV per cell

four:
First-principles (PBE) data for crystalline AcY2Sn at its relaxed geometry, as listed in the Alexandria database.

Structure (POSCAR):
```
AcY2Sn
1.0
0.000 3.936 3.936
3.936 0.000 3.936
3.936 3.936 0.000
Ac Y Sn
1 2 1
Direct
0.000 0.000 0.000
0.250 0.250 0.250
0.750 0.750 0.750
0.500 0.500 0.500
```

Output
mass density = 7.13 g cm⁻³
D(E_F) = 6.943 states/eV per cell

Which of them is the least stable? Correct choice: four.

one:
First-principles (PBE) data for crystalline Ac3ZnSn3 at its relaxed geometry, as listed in the Alexandria database.

Structure (POSCAR):
```
Ac3ZnSn3
1.0
6.182 -2.419 0.000
6.182 2.419 0.000
-5.122 0.000 15.064
Ac Zn Sn
6 2 6
Direct
0.025 0.025 0.386
0.100 0.100 0.919
0.243 0.243 0.231
0.757 0.757 0.769
0.900 0.900 0.081
0.975 0.975 0.614
0.273 0.273 0.609
0.727 0.727 0.391
0.345 0.345 0.453
0.378 0.378 0.923
0.471 0.471 0.765
0.529 0.529 0.235
0.622 0.622 0.077
0.655 0.655 0.547
```

Output
mass density = 8.13 g cm⁻³
D(E_F) = 9.871 states/eV per cell

two:
First-principles (PBE) data for crystalline Ac3ZnSn3 at its relaxed geometry, as listed in the Alexandria database.

Structure (POSCAR):
```
Ac3ZnSn3
1.0
9.744 0.000 0.000
-4.872 8.439 0.000
0.000 0.000 6.778
Ac Zn Sn
6 2 6
Direct
0.059 0.699 0.250
0.301 0.359 0.250
0.359 0.059 0.750
0.641 0.941 0.250
0.699 0.641 0.750
0.941 0.301 0.750
0.333 0.667 0.750
0.667 0.333 0.250
0.063 0.687 0.750
0.313 0.376 0.750
0.376 0.063 0.250
0.624 0.937 0.750
0.687 0.624 0.250
0.937 0.313 0.250
```

Output
mass density = 6.57 g cm⁻³
D(E_F) = 13.773 states/eV per cell

Which of them is the least stable? Correct choice: two.

one:
First-principles (PBE) data for crystalline Ac4ZnSn at its relaxed geometry, as listed in the Alexandria database.

Structure (POSCAR):
```
Ac4ZnSn
1.0
5.508 0.000 0.000
0.000 5.508 0.000
0.000 0.000 7.875
Ac Zn Sn
4 1 1
Direct
0.000 0.500 0.235
0.000 0.500 0.765
0.500 0.000 0.235
0.500 0.000 0.765
0.000 0.000 0.000
0.500 0.500 0.500
```

Output
mass density = 7.59 g cm⁻³
D(E_F) = 8.375 states/eV per cell

two:
First-principles (PBE) data for crystalline Ac4ZnSn at its relaxed geometry, as listed in the Alexandria database.

Structure (POSCAR):
```
Ac4ZnSn
1.0
0.000 7.612 7.612
7.612 0.000 7.612
7.612 7.612 0.000
Ac Zn Sn
16 4 4
Direct
0.187 0.187 0.813
0.187 0.813 0.187
0.187 0.813 0.813
0.388 0.388 0.388
0.388 0.388 0.836
0.388 0.836 0.388
0.551 0.551 0.949
0.551 0.949 0.551
0.551 0.949 0.949
0.813 0.187 0.187
0.813 0.187 0.813
0.813 0.813 0.187
0.836 0.388 0.388
0.949 0.551 0.551
0.949 0.551 0.949
0.949 0.949 0.551
0.183 0.606 0.606
0.606 0.183 0.606
0.606 0.606 0.183
0.606 0.606 0.606
0.164 0.164 0.164
0.164 0.164 0.509
0.164 0.509 0.164
0.509 0.164 0.164
```

Output
mass density = 8.22 g cm⁻³
D(E_F) = 34.791 states/eV per cell

Which of them is the least stable? Correct choice: one.

one:
First-principles (PBE) data for crystalline Ac2Zn3Sn at its relaxed geometry, as listed in the Alexandria database.

Structure (POSCAR):
```
Ac2Zn3Sn
1.0
0.000 4.701 8.102
4.288 0.000 8.102
4.288 4.701 0.000
Ac Zn Sn
4 6 2
Direct
0.242 0.758 0.758
0.250 0.250 0.250
0.750 0.750 0.750
0.758 0.242 0.242
0.162 0.162 0.838
0.164 0.675 0.325
0.325 0.836 0.164
0.675 0.164 0.836
0.836 0.325 0.675
0.838 0.838 0.162
0.335 0.335 0.665
0.665 0.665 0.335
```

Output
mass density = 7.82 g cm⁻³
D(E_F) = 10.576 states/eV per cell

two:
First-principles (PBE) data for crystalline Ac2Zn3Sn at its relaxed geometry, as listed in the Alexandria database.

Structure (POSCAR):
```
Ac2Zn3Sn
1.0
4.498 0.000 0.000
0.000 4.569 0.000
0.000 0.000 8.049
Ac Zn Sn
2 3 1
Direct
0.000 0.000 0.000
0.000 0.500 0.500
0.500 0.000 0.329
0.500 0.000 0.653
0.500 0.500 0.182
0.500 0.500 0.837
```

Output
mass density = 7.72 g cm⁻³
D(E_F) = 5.890 states/eV per cell

Which of them is the least stable? Correct choice: two.